# NaMg2AlAu4 (PBE-GGA, optimized geometry)
# * DFT formation energy: -0.46 eV per atom
data_NaMg2AlAu4
_chemical_formula_sum 'Na3 Mg6 Al3 Au12'
_symmetry_space_group_name_H-M 'R -3 m'
_symmetry_Int_Tables_number 166
_symmetry_space_group_name_Hall '-R 3 2"'
_cell_length_a 4.6738
_cell_length_b 4.6738
_cell_length_c 23.0283
_cell_angle_alpha 90.00
_cell_angle_beta 90.00
_cell_angle_gamma 120.00
loop_
_atom_site_label
_atom_site_fract_x
_atom_site_fract_y
_atom_site_fract_z
Na1 0.0000 0.0000 0.0000
Mg1 0.0000 0.0000 0.2544
Al1 0.0000 0.0000 0.5000
Au1 0.0000 0.0000 0.1323
Au2 0.0000 0.0000 0.3853